Record 1
! HoVS3 | Alexandria via LeMat-Bulk | GGA-PBE | optimized geometry; values from VASP
&SYSTEM
  ibrav = 0, nat = 20, ntyp = 3
/
ATOMIC_SPECIES
Ho 164.93 Ho.upf
V 50.94 V.upf
S 32.06 S.upf
CELL_PARAMETERS angstrom
-2.518 -4.650 -1.050
6.924 -4.646 3.964
-5.428 1.480 6.462
ATOMIC_POSITIONS angstrom
Ho 1.536 -6.312 2.790
Ho -2.558 -1.503 6.586
Ho 0.026 -2.485 3.300
Ho -1.047 -5.331 6.075
V 3.191 -4.910 7.193
V -4.213 -2.906 2.183
V -6.922 -2.156 5.416
V 5.900 -5.659 3.959
S 4.601 -4.310 5.529
S -5.623 -3.506 3.846
S -2.108 -2.767 0.949
S 1.086 -5.049 8.426
S 1.717 -5.667 5.492
S -2.738 -2.148 3.883
S 0.936 -1.116 1.052
S -1.957 -6.700 8.323
S -0.169 -2.702 6.046
S -0.853 -5.113 3.329
S -3.458 -4.172 6.605
S 2.436 -3.643 2.770
! - symmetry = P2_1/c
! - Fermi-level density of states (states/eV/cell) = 8.2
! - E_form (uncorrected) (eV/atom) = -1.3555


Record 2
! HoVS | Alexandria via LeMat-Bulk | GGA-PBE | optimized geometry; values from VASP
&SYSTEM
  ibrav = 0, nat = 6, ntyp = 3
/
ATOMIC_SPECIES
V 50.94 V.upf
S 32.06 S.upf
Ho 164.93 Ho.upf
CELL_PARAMETERS angstrom
-4.073 0.024 0.493
-0.321 -2.419 -2.534
0.464 -6.994 4.176
ATOMIC_POSITIONS angstrom
V -3.187 -1.456 -0.648
V -0.744 -7.933 2.783
S -2.995 -3.233 1.024
S -0.935 -6.156 1.111
Ho -2.770 -5.311 2.979
Ho -1.160 -4.078 -0.844
! - symmetry = Cmcm
! - Fermi-level density of states (states/eV/cell) = 4.2
! - E_form (uncorrected) (eV/atom) = -0.9441


Record 3
! YHo6S8 | Alexandria via LeMat-Bulk | GGA-PBE | optimized geometry; values from VASP
&SYSTEM
  ibrav = 0, nat = 15, ntyp = 3
/
ATOMIC_SPECIES
Y 88.91 Y.upf
Ho 164.93 Ho.upf
S 32.06 S.upf
CELL_PARAMETERS angstrom
6.718 0.000 3.879
2.239 6.334 3.879
0.000 0.000 7.757
ATOMIC_POSITIONS angstrom
Y 0.000 0.000 0.000
Ho 1.120 3.167 5.818
Ho 3.359 0.000 1.939
Ho 4.479 3.167 3.879
Ho 0.000 0.000 3.879
Ho 1.120 3.167 1.939
Ho 3.359 0.000 5.818
S 6.718 4.750 11.636
S 2.239 1.583 3.879
S 5.588 1.597 5.835
S 3.369 4.736 9.679
S 2.259 1.597 7.757
S 6.698 4.736 7.757
S 5.588 1.597 9.679
S 3.369 4.736 5.835
! - symmetry = Fm-3m
! - Fermi-level density of states (states/eV/cell) = 6.0
! - E_form (uncorrected) (eV/atom) = -2.0418


Record 4
! Y3Ho2S6 | Alexandria via LeMat-Bulk | GGA-PBE | optimized geometry; values from VASP
&SYSTEM
  ibrav = 0, nat = 11, ntyp = 3
/
ATOMIC_SPECIES
Y 88.91 Y.upf
Ho 164.93 Ho.upf
S 32.06 S.upf
CELL_PARAMETERS angstrom
6.486 0.000 1.928
3.243 5.839 0.964
0.349 0.000 6.715
ATOMIC_POSITIONS angstrom
Y 0.000 0.000 0.000
Y 3.243 1.899 0.964
Y 6.486 3.939 1.928
Ho 3.417 3.905 4.321
Ho 6.661 1.934 5.285
S 5.124 3.885 6.474
S 5.133 0.000 6.440
S 1.881 1.954 5.510
S 1.702 0.000 2.203
S 4.954 1.954 3.133
S 8.197 3.885 4.097
! - symmetry = C2/m
! - Fermi-level density of states (states/eV/cell) = 4.1
! - E_form (uncorrected) (eV/atom) = -2.0734